A plane-wave DFT calculation with PBE-GGA was carried out for crystalline BaIn4AgAu2 at its relaxed geometry.

Properties
V (Å³/f.u.): 206.3
Formation enthalpy at 0 K (meV per atom): -281
Total magnetic moment (μB/f.u.): 0.000
Crystal system: trigonal
N(E_F) (states/eV per cell): 2.88
Space-group type: No. 166

a b c (Å): 4.760 4.760 10.869
angles (deg): 77.35 77.35 60.00
Fractional coordinates of all 8 atoms:
Ba  0.000  0.000  0.000
In  0.403  0.403  0.790
In  0.869  0.869  0.392
In  0.131  0.131  0.608
In  0.597  0.597  0.210
Ag  0.500  0.500  0.500
Au  0.758  0.758  0.725
Au  0.242  0.242  0.275